1.
A geometry-optimized Mg7InPb4 structure. Source: the Alexandria database, functional PBE.

Computed properties:
magnetization = 0.000 μB per formula unit
space-group type = C2/m
energy of formation from the pure elements = 5 kJ per mole of atoms
excess energy over the best structure of this formula in the dataset = 71 meV per atom

```
Mg7InPb4
1.0
5.990 -2.829 0.000
5.990 2.829 0.000
-5.961 0.000 9.594
Mg In Pb
7 1 4
Direct
0.000 0.000 0.000 Mg
0.170 0.170 0.627 Mg
0.217 0.217 0.920 Mg
0.384 0.384 0.543 Mg
0.616 0.616 0.457 Mg
0.783 0.783 0.080 Mg
0.830 0.830 0.373 Mg
0.500 0.500 0.000 In
0.079 0.079 0.310 Pb
0.320 0.320 0.233 Pb
0.680 0.680 0.767 Pb
0.921 0.921 0.690 Pb
```

2.
A geometry-optimized MgInPb3 structure. Source: the Alexandria database, functional PBE.

Computed properties:
magnetization = 0.000 μB per formula unit
space-group type = Pm-3m
energy of formation from the pure elements = 32 kJ per mole of atoms
excess energy over the best structure of this formula in the dataset = 331 meV per atom

```
MgInPb3
1.0
5.547 0.000 0.000
0.000 5.547 0.000
0.000 0.000 5.547
Mg In Pb
1 1 3
Direct
0.000 0.000 0.000 Mg
0.500 0.500 0.500 In
0.000 0.000 0.500 Pb
0.000 0.500 0.000 Pb
0.500 0.000 0.000 Pb
```

3.
A geometry-optimized Mg3InPb5 structure. Source: the Alexandria database, functional PBE.

Computed properties:
magnetization = 0.000 μB per formula unit
space-group type = C2/m
energy of formation from the pure elements = 12 kJ per mole of atoms

```
Mg3InPb5
1.0
5.435 -4.550 0.000
5.435 4.550 0.000
-2.274 0.000 11.193
Mg In Pb
6 2 10
Direct
0.000 0.000 0.000 Mg
0.000 0.000 0.500 Mg
0.244 0.244 0.377 Mg
0.273 0.273 0.955 Mg
0.727 0.727 0.045 Mg
0.756 0.756 0.623 Mg
0.028 0.028 0.758 In
0.972 0.972 0.242 In
0.031 0.598 0.835 Pb
0.276 0.276 0.644 Pb
0.326 0.674 0.500 Pb
0.402 0.969 0.165 Pb
0.440 0.440 0.207 Pb
0.560 0.560 0.793 Pb
0.598 0.031 0.835 Pb
0.674 0.326 0.500 Pb
0.724 0.724 0.356 Pb
0.969 0.402 0.165 Pb
```

4.
A geometry-optimized Mg15In2Pb2 structure. Source: the Alexandria database, functional PBE.

Computed properties:
magnetization = 0.000 μB per formula unit
space-group type = R-3m
energy of formation from the pure elements = 5 kJ per mole of atoms

```
Mg15In2Pb2
1.0
5.131 2.962 5.269
-5.131 2.962 5.269
0.000 -5.924 5.269
Mg In Pb
15 2 2
Direct
0.000 0.000 0.500 Mg
0.000 0.322 0.678 Mg
0.000 0.500 0.000 Mg
0.000 0.678 0.322 Mg
0.161 0.662 0.662 Mg
0.322 0.000 0.678 Mg
0.322 0.678 0.000 Mg
0.338 0.338 0.839 Mg
0.338 0.839 0.338 Mg
0.500 0.000 0.000 Mg
0.662 0.161 0.662 Mg
0.662 0.662 0.161 Mg
0.678 0.000 0.322 Mg
0.678 0.322 0.000 Mg
0.839 0.338 0.338 Mg
0.096 0.096 0.096 In
0.904 0.904 0.904 In
0.388 0.388 0.388 Pb
0.612 0.612 0.612 Pb
```

5.
A geometry-optimized Mg3In3Pb structure. Source: the Alexandria database, functional PBE.

Computed properties:
magnetization = 0.000 μB per formula unit
space-group type = Cmmm
energy of formation from the pure elements = -4 kJ per mole of atoms
excess energy over the best structure of this formula in the dataset = 0 meV per atom

```
Mg3In3Pb
1.0
4.922 -5.135 0.000
4.922 5.135 0.000
0.000 0.000 7.086
Mg In Pb
6 6 2
Direct
0.000 0.000 0.234 Mg
0.000 0.000 0.766 Mg
0.000 0.500 0.245 Mg
0.000 0.500 0.755 Mg
0.500 0.000 0.245 Mg
0.500 0.000 0.755 Mg
0.250 0.750 0.500 In
0.270 0.730 0.000 In
0.278 0.278 0.000 In
0.722 0.722 0.000 In
0.730 0.270 0.000 In
0.750 0.250 0.500 In
0.274 0.274 0.500 Pb
0.726 0.726 0.500 Pb
```

6.
A geometry-optimized Mg2InPb8 structure. Source: the Alexandria database, functional PBE.

Computed properties:
magnetization = 0.000 μB per formula unit
space-group type = C2/m
energy of formation from the pure elements = 10 kJ per mole of atoms
excess energy over the best structure of this formula in the dataset = 103 meV per atom

```
Mg2InPb8
1.0
6.540 -5.135 0.000
6.540 5.135 0.000
-1.019 0.000 5.375
Mg In Pb
2 1 8
Direct
0.125 0.125 0.030 Mg
0.875 0.875 0.970 Mg
0.000 0.000 0.500 In
0.187 0.655 0.718 Pb
0.249 0.249 0.593 Pb
0.345 0.813 0.282 Pb
0.394 0.394 0.172 Pb
0.606 0.606 0.828 Pb
0.655 0.187 0.718 Pb
0.751 0.751 0.407 Pb
0.813 0.345 0.282 Pb
```

7.
A geometry-optimized Mg5In3Pb3 structure. Source: the Alexandria database, functional PBE.

Computed properties:
magnetization = 0.000 μB per formula unit
space-group type = P-62m
energy of formation from the pure elements = 11 kJ per mole of atoms
excess energy over the best structure of this formula in the dataset = 154 meV per atom

```
Mg5In3Pb3
1.0
10.111 0.000 0.000
-5.056 8.756 0.000
0.000 0.000 3.527
Mg In Pb
5 3 3
Direct
0.000 0.831 0.000 Mg
0.169 0.169 0.000 Mg
0.333 0.667 0.000 Mg
0.667 0.333 0.000 Mg
0.831 0.000 0.000 Mg
0.000 0.336 0.000 In
0.336 0.000 0.000 In
0.664 0.664 0.000 In
0.000 0.588 0.500 Pb
0.412 0.412 0.500 Pb
0.588 0.000 0.500 Pb
```

8.
A geometry-optimized Mg4InPb structure. Source: the Alexandria database, functional PBE.

Computed properties:
magnetization = 0.000 μB per formula unit
space-group type = C2/m
energy of formation from the pure elements = -3 kJ per mole of atoms
excess energy over the best structure of this formula in the dataset = 20 meV per atom

```
Mg4InPb
1.0
8.429 0.000 0.000
0.000 4.863 0.000
-2.832 0.000 7.918
Mg In Pb
8 2 2
Direct
0.122 0.000 0.367 Mg
0.128 0.500 0.883 Mg
0.372 0.000 0.117 Mg
0.378 0.500 0.633 Mg
0.622 0.500 0.367 Mg
0.628 0.000 0.883 Mg
0.872 0.500 0.117 Mg
0.878 0.000 0.633 Mg
0.000 0.000 0.000 In
0.500 0.500 0.000 In
0.000 0.500 0.500 Pb
0.500 0.000 0.500 Pb
```

9.
A geometry-optimized Mg4InPb3 structure. Source: the Alexandria database, functional PBE.

Computed properties:
magnetization = 0.000 μB per formula unit
space-group type = Pmmm
energy of formation from the pure elements = -5 kJ per mole of atoms
excess energy over the best structure of this formula in the dataset = 0 meV per atom

```
Mg4InPb3
1.0
3.518 0.000 0.000
0.000 5.471 0.000
0.000 0.000 10.696
Mg In Pb
4 1 3
Direct
0.000 0.000 0.000 Mg
0.000 0.000 0.500 Mg
0.000 0.500 0.244 Mg
0.000 0.500 0.756 Mg
0.500 0.500 0.000 In
0.500 0.000 0.249 Pb
0.500 0.000 0.751 Pb
0.500 0.500 0.500 Pb
```

10.
A geometry-optimized MgIn2Pb structure. Source: the Alexandria database, functional PBE.

Computed properties:
magnetization = 0.000 μB per formula unit
space-group type = I-4m2
energy of formation from the pure elements = -1 kJ per mole of atoms

```
MgIn2Pb
1.0
4.725 0.000 0.000
0.000 4.725 0.000
0.000 0.000 9.539
Mg In Pb
2 4 2
Direct
0.000 0.000 0.000 Mg
0.500 0.500 0.500 Mg
0.000 0.000 0.500 In
0.000 0.500 0.250 In
0.500 0.000 0.750 In
0.500 0.500 0.000 In
0.000 0.500 0.750 Pb
0.500 0.000 0.250 Pb
```